Material: Ca2OsRu
Method: DFT, PBE
State: relaxed

Output
- space-group type = Imm2 (44)
- offset from the most stable computed form (eV/atom) = 0.1506
- formation energy from the elements (eV per atom) = 0.39

Cell: 5.994 5.994 5.994 Å, 148.66 130.52 59.74°
Site moments in Bohr magnetons follow the coordinates.
Fractional coordinates of all 4 atoms:
Os  0.467  0.467  0.000  0.47
Ca  0.018  0.018  0.000  0.00
Ca  0.731  0.231  0.500  -0.01
Ru  0.284  0.784  0.500  0.47



Material: K2MgTl7
Method: DFT, PBE
State: relaxed

Output
- space-group type = Fm-3m (225)
- offset from the most stable computed form (eV/atom) = 0.1523
- formation energy from the elements (eV per atom) = 0.12

Cell: 8.199 8.199 8.199 Å, 60.00 60.00 60.00°
Fractional coordinates of all 10 atoms:
Tl  0.757  0.243  0.243
Tl  0.243  0.757  0.757
Tl  0.243  0.757  0.243
Tl  0.757  0.243  0.757
Tl  0.757  0.757  0.243
Tl  0.243  0.243  0.757
Tl  0.500  0.500  0.500
Mg  0.000  0.000  0.000
K  0.250  0.250  0.250
K  0.750  0.750  0.750



Material: BaTa2Br
Method: DFT, PBE
State: relaxed

Output
- space-group type = Cm (8)
- offset from the most stable computed form (eV/atom) = 0.2950
- ΔE_f (raw) (eV/atom) = 0.43

Cell: 4.893 4.893 8.080 Å, 71.09 71.09 39.59°
Site moments in Bohr magnetons follow the coordinates.
Fractional coordinates of all 4 atoms:
Ta  0.939  0.939  0.924  0.00
Ta  0.693  0.693  0.844  0.39
Br  0.340  0.340  0.222  0.01
Ba  0.528  0.528  0.509  0.07



Material: BaSi3As
Method: DFT, PBE
State: relaxed

Output
- space-group type = Pm-3m (221)
- offset from the most stable computed form (eV/atom) = 0.0000
- ΔE_f (raw) (eV/atom) = 0.44

Cell: 5.045 5.045 5.045 Å, 90.00 90.00 90.00°
Fractional coordinates of all 5 atoms:
Ba  0.500  0.500  0.500
Si  0.000  0.000  0.500
Si  0.500  0.000  0.000
Si  0.000  0.500  0.000
As  0.000  0.000  0.000



Material: LiNdHg2
Method: DFT, PBE
State: relaxed

Output
- space-group type = Fm-3m (225)
- offset from the most stable computed form (eV/atom) = 0.0000
- formation energy from the elements (eV per atom) = -0.46

Cell: 5.146 5.146 5.146 Å, 60.00 60.00 60.00°
Fractional coordinates of all 4 atoms:
Hg  0.750  0.750  0.750
Hg  0.250  0.250  0.250
Li  0.500  0.500  0.500
Nd  0.000  0.000  0.000



Material: FeSb2HPd
Method: DFT, PBE
State: relaxed

Output
- space-group type = P4/mmm (123)

Cell: 4.808 4.797 4.808 Å, 90.00 90.00 90.00°
Site moments in Bohr magnetons follow the coordinates.
Fractional coordinates of all 5 atoms:
Pd  0.000  0.500  0.000  0.30
Fe  0.000  0.000  0.000  1.77
Sb  0.500  0.000  0.000  -0.04
Sb  0.000  0.000  0.500  0.03
H  0.500  0.500  0.500  -0.21



no.,D(E_F) (states/eV/cell),calculated total energy (eV per atom)
1,4.1,-5.7402
2,4.9,-1.9191
3,2.5,-6.3987
4,2.3,-4.1251
5,2.9,-2.2765
6,4.1,-4.1814